(1)
# Pm2AuO4

Crystalline Pm2AuO4 at its relaxed geometry (PBE, the Alexandria database).

The structure belongs to space group Cmce (No. 64); the cell edges are 12.372, 5.871 and 5.865 Å and the angles 90.00°, 90.00° and 90.00°. The distinct sites, in fractional coordinates, are Pm at (0.159, 0.000, 0.000), Au at (0.000, 0.000, 0.500), O at (0.000, 0.177, 0.178) and O at (0.250, 0.239, 0.750).

As for the crystal system: orthorhombic.

(2)
# PmAu2O4

Crystalline PmAu2O4 at its relaxed geometry (PBE, the Alexandria database).

The structure belongs to space group C2/c (No. 15); the cell edges are 8.433, 9.739 and 6.273 Å and the angles 90.00°, 112.15° and 90.00°. The distinct sites, in fractional coordinates, are Pm at (0.000, 0.094, 0.250), Au at (0.000, 0.500, 0.000), Au at (0.250, 0.250, 0.000), O at (0.032, 0.298, 0.040) and O at (0.167, 0.055, 0.020).

As for the crystal system: monoclinic.

Asked for uncorrected formation energy across the records above, the calculation gives -2.446, -1.130 eV/atom in order.